No. 1
Density functional theory data (SCAN) for a crystal of Cs2LaCl5 relaxed with PBEsol.

Cell lengths 13.668, 9.090, 8.474 Å; angles 90.00, 90.00, 90.00 degrees
Space group Pnma (No. 62)
Unique sites:
Cs (0.171, 0.005, 0.057) (multiplicity 8)
La (0.005, 0.250, 0.566) (multiplicity 4)
Cl (0.013, 0.250, 0.895) (multiplicity 4)
Cl (0.070, 0.541, 0.659) (multiplicity 8)
Cl (0.174, 0.250, 0.384) (multiplicity 4)
Cl (0.193, 0.750, 0.352) (multiplicity 4)

## Properties
Its magnetic moment is 0.000 Bohr magnetons per cell. As for the formation energy (no corrections): -2512.2 meV/atom. The density comes out at 3.67 g cm⁻³. The crystal system is orthorhombic. As for the uncorrected energy: -22.339 eV per atom.

No. 2
Density functional theory data (SCAN) for a crystal of Cs2LiLaCl6 relaxed with PBEsol.

Cell lengths 10.585, 10.585, 10.585 Å; angles 90.00, 90.00, 90.00 degrees
Space group Fm-3m (No. 225)
Unique sites:
Cs (0.250, 0.250, 0.250) (multiplicity 8)
Li (0.000, 0.000, 0.000) (multiplicity 4)
La (0.000, 0.000, 0.500) (multiplicity 4)
Cl (0.000, 0.000, 0.241) (multiplicity 24)

## Properties
Its magnetic moment is 0.000 Bohr magnetons per cell. As for the formation energy (no corrections): -2401.9 meV/atom. The density comes out at 3.50 g cm⁻³. The crystal system is cubic. As for the uncorrected energy: -19.300 eV per atom.

No. 3
Density functional theory data (SCAN) for a crystal of CsLaP2Cl relaxed with PBEsol.

Cell lengths 5.474, 5.474, 5.698 Å; angles 90.00, 90.00, 90.00 degrees
Space group P4/mmm (No. 123)
Unique sites:
Cs (0.000, 0.000, 0.000) (multiplicity 1)
La (0.500, 0.500, 0.500) (multiplicity 1)
P (0.000, 0.500, 0.500) (multiplicity 2)
Cl (0.500, 0.500, 0.000) (multiplicity 1)

## Properties
Its magnetic moment is 0.738 Bohr magnetons per cell. As for the formation energy (no corrections): -725.9 meV/atom. The density comes out at 3.59 g cm⁻³. The crystal system is tetragonal. As for the uncorrected energy: -22.664 eV per atom.

No. 4
Density functional theory data (SCAN) for a crystal of CsLiCl2 relaxed with PBEsol.

Cell lengths 7.407, 7.407, 8.265 Å; angles 90.00, 90.00, 90.00 degrees
Space group I-42d (No. 122)
Unique sites:
Cs (0.000, 0.000, 0.000) (multiplicity 4)
Li (0.000, 0.000, 0.500) (multiplicity 4)
Cl (0.140, 0.750, 0.625) (multiplicity 8)

## Properties
Its magnetic moment is 0.000 Bohr magnetons per cell. As for the formation energy (no corrections): -2093.8 meV/atom. The density comes out at 3.09 g cm⁻³. The crystal system is tetragonal. As for the uncorrected energy: -16.133 eV per atom.

No. 5
Density functional theory data (SCAN) for a crystal of CsLiCl2 relaxed with PBEsol.

Cell lengths 7.187, 13.618, 9.593 Å; angles 90.00, 98.61, 90.00 degrees
Space group C2/c (No. 15)
Unique sites:
Cs (0.223, 0.096, 0.439) (multiplicity 8)
Li (0.241, 0.199, 0.864) (multiplicity 8)
Cl (0.000, 0.102, 0.750) (multiplicity 4)
Cl (0.000, 0.306, 0.250) (multiplicity 4)
Cl (0.196, 0.367, 0.908) (multiplicity 8)

## Properties
Its magnetic moment is 0.000 Bohr magnetons per cell. As for the formation energy (no corrections): -2125.1 meV/atom. The density comes out at 3.02 g cm⁻³. The crystal system is monoclinic. As for the uncorrected energy: -16.164 eV per atom.

No. 6
Density functional theory data (SCAN) for a crystal of CsLiCl2 relaxed with PBEsol.

Cell lengths 4.834, 4.834, 9.395 Å; angles 90.00, 90.00, 90.00 degrees
Space group P4/nmm (No. 129, origin choice 2)
Unique sites:
Cs (0.250, 0.250, 0.195) (multiplicity 2)
Li (0.250, 0.250, 0.583) (multiplicity 2)
Cl (0.250, 0.250, 0.830) (multiplicity 2)
Cl (0.250, 0.750, 0.500) (multiplicity 2)

## Properties
Its magnetic moment is 0.000 Bohr magnetons per cell. As for the formation energy (no corrections): -2122.2 meV/atom. The density comes out at 3.19 g cm⁻³. The crystal system is tetragonal. As for the uncorrected energy: -16.161 eV per atom.

No. 7
Density functional theory data (SCAN) for a crystal of CsLi3Cl4 relaxed with PBEsol.

Cell lengths 4.448, 31.310, 5.148 Å; angles 90.00, 90.00, 90.00 degrees
Space group Cmcm (No. 63)
Unique sites:
Cs (0.000, 0.153, 0.250) (multiplicity 4)
Li (0.000, 0.033, 0.250) (multiplicity 4)
Li (0.000, 0.274, 0.250) (multiplicity 4)
Li (0.000, 0.426, 0.250) (multiplicity 4)
Cl (0.000, 0.042, 0.750) (multiplicity 4)
Cl (0.000, 0.258, 0.750) (multiplicity 4)
Cl (0.000, 0.349, 0.250) (multiplicity 4)
Cl (0.000, 0.434, 0.750) (multiplicity 4)

## Properties
Its magnetic moment is 0.000 Bohr magnetons per cell. As for the formation energy (no corrections): -2058.8 meV/atom. The density comes out at 2.74 g cm⁻³. The crystal system is orthorhombic. As for the uncorrected energy: -11.670 eV per atom.

No. 8
Density functional theory data (SCAN) for a crystal of Cs3Li2Cl5 relaxed with PBEsol.

Cell lengths 4.134, 23.828, 5.724 Å; angles 90.00, 90.00, 90.00 degrees
Space group Imm2 (No. 44)
Unique sites:
Cs (0.000, 0.000, 0.000) (multiplicity 2)
Cs (0.000, 0.124, 0.498) (multiplicity 4)
Li (0.000, 0.285, 0.481) (multiplicity 4)
Cl (0.000, 0.260, 0.079) (multiplicity 4)
Cl (0.000, 0.382, 0.506) (multiplicity 4)
Cl (0.000, 0.500, 0.001) (multiplicity 2)

## Properties
Its magnetic moment is 0.211 Bohr magnetons per cell. As for the formation energy (no corrections): -2138.1 meV/atom. The density comes out at 3.47 g cm⁻³. The crystal system is orthorhombic. As for the uncorrected energy: -17.948 eV per atom.

What is the formula in the third record?
CsLaP2Cl

Which of these has the highest magnetic moment?
CsLaP2Cl

Look up the density of the eighth one.
3.47 g cm⁻³

Among the records above, which one has the highest density?
Cs2LaCl5